DFT (PBE-GGA) results for a relaxed ThIn2Rh2 crystal.

Summary:
Energy relative to the elements = -634 meV/atom
Space-group type = Cmc2_1
Energy = -6.154 eV per atom

a b c (Å): 3.756 6.846 8.740
angles (deg): 90.00 90.00 105.92
Positions (direct):
1 Rh 0.026 0.052 0.505
2 Rh 0.974 0.948 0.005
3 Rh 0.792 0.585 0.194
4 Rh 0.208 0.415 0.694
5 In 0.131 0.262 0.200
6 In 0.869 0.738 0.700
7 In 0.316 0.631 0.964
8 In 0.684 0.369 0.464
9 Th 0.585 0.171 0.842
10 Th 0.415 0.829 0.342